The following is a PBE calculation of an optimized crystal structure of Al2In2CuPd5, from Alexandria via LeMat-Bulk.

Output
Space-group type   P4/mbm (127)
DOS at the Fermi energy   9.35 states/eV per cell
DFT formation energy   -424 meV per atom

```
data_Al2In2CuPd5
_chemical_formula_sum 'Al4 In4 Cu2 Pd10'
_space_group_name_H-M_alt 'P 1'
_space_group_IT_number 1
_space_group_name_Hall 'P 1'
_cell_length_a 3.5237
_cell_length_b 9.7161
_cell_length_c 9.7161
_cell_angle_alpha 90.00
_cell_angle_beta 90.00
_cell_angle_gamma 90.00
loop_
_atom_site_label
_atom_site_fract_x
_atom_site_fract_y
_atom_site_fract_z
Al1 0.0000 0.1319 0.6319
Al2 0.0000 0.8681 0.3681
Al3 0.0000 0.6319 0.8681
Al4 0.0000 0.3681 0.1319
In1 0.0000 0.6684 0.1684
In2 0.0000 0.3316 0.8316
In3 0.0000 0.1684 0.3316
In4 0.0000 0.8316 0.6684
Cu1 0.0000 0.0000 0.0000
Cu2 0.0000 0.5000 0.5000
Pd1 0.5000 0.1899 0.0904
Pd2 0.5000 0.8101 0.9096
Pd3 0.5000 0.0904 0.8101
Pd4 0.5000 0.6899 0.4096
Pd5 0.5000 0.9096 0.1899
Pd6 0.5000 0.3101 0.5904
Pd7 0.5000 0.5904 0.6899
Pd8 0.5000 0.4096 0.3101
Pd9 0.5000 0.5000 0.0000
Pd10 0.5000 0.0000 0.5000
```

The following is a PBE calculation of an optimized crystal structure of Pm2Al3InCu4, from Alexandria via LeMat-Bulk.

Output
Space-group type   P-4m2 (115)
DOS at the Fermi energy   5.44 states/eV per cell
DFT formation energy   -365 meV per atom

```
data_Pm2Al3InCu4
_chemical_formula_sum 'Pm2 Al3 In1 Cu4'
_space_group_name_H-M_alt 'P 1'
_space_group_IT_number 1
_space_group_name_Hall 'P 1'
_cell_length_a 4.2716
_cell_length_b 4.2716
_cell_length_c 10.3207
_cell_angle_alpha 90.00
_cell_angle_beta 90.00
_cell_angle_gamma 90.00
loop_
_atom_site_label
_atom_site_fract_x
_atom_site_fract_y
_atom_site_fract_z
Pm1 0.5000 0.0000 0.2372
Pm2 0.0000 0.5000 0.7628
Al1 0.0000 0.0000 0.5000
Al2 0.5000 0.0000 0.8789
Al3 0.0000 0.5000 0.1211
In1 0.5000 0.5000 0.5000
Cu1 0.5000 0.5000 0.0000
Cu2 0.0000 0.0000 0.0000
Cu3 0.5000 0.0000 0.6450
Cu4 0.0000 0.5000 0.3550
```

The following is a PBE calculation of an optimized crystal structure of PrAl2InCu4, from Alexandria via LeMat-Bulk.

Output
Space-group type   R-3m (166)
DOS at the Fermi energy   3.12 states/eV per cell
DFT formation energy   -201 meV per atom

```
data_PrAl2InCu4
_chemical_formula_sum 'Pr1 Al2 In1 Cu4'
_space_group_name_H-M_alt 'P 1'
_space_group_IT_number 1
_space_group_name_Hall 'P 1'
_cell_length_a 4.2254
_cell_length_b 4.2254
_cell_length_c 9.5903
_cell_angle_alpha 77.27
_cell_angle_beta 77.27
_cell_angle_gamma 60.00
loop_
_atom_site_label
_atom_site_fract_x
_atom_site_fract_y
_atom_site_fract_z
Pr1 0.0000 0.0000 0.0000
Al1 0.7514 0.7514 0.7459
Al2 0.2486 0.2486 0.2541
In1 0.5000 0.5000 0.5000
Cu1 0.4050 0.4050 0.7851
Cu2 0.8863 0.8863 0.3410
Cu3 0.1137 0.1137 0.6590
Cu4 0.5950 0.5950 0.2149
```

The following is a PBE calculation of an optimized crystal structure of Al2InCuS4, from Alexandria via LeMat-Bulk.

Output
Space-group type   I-42m (121)
ΔE_f (raw)   -0.60 eV per atom

```
data_Al2InCuS4
_chemical_formula_sum 'Al2 In1 Cu1 S4'
_space_group_name_H-M_alt 'P 1'
_space_group_IT_number 1
_space_group_name_Hall 'P 1'
_cell_length_a 5.3882
_cell_length_b 5.3882
_cell_length_c 7.3099
_cell_angle_alpha 111.63
_cell_angle_beta 111.63
_cell_angle_gamma 90.00
loop_
_atom_site_label
_atom_site_fract_x
_atom_site_fract_y
_atom_site_fract_z
Al1 0.7501 0.2501 0.5001
Al2 0.2501 0.7501 0.5001
In1 0.0001 0.0001 0.0002
Cu1 0.5000 0.5000 0.0000
S1 0.5644 0.5644 0.7045
S2 0.4357 0.8599 0.2957
S3 0.8599 0.4357 0.2957
S4 0.1401 0.1401 0.7045
```

The following is a PBE calculation of an optimized crystal structure of Al4InCuS8, from Alexandria via LeMat-Bulk.

Output
Space-group type   R3m (160)
ΔE_f (raw)   -0.87 eV per atom

```
data_Al4InCuS8
_chemical_formula_sum 'Al4 In1 Cu1 S8'
_space_group_name_H-M_alt 'P 1'
_space_group_IT_number 1
_space_group_name_Hall 'P 1'
_cell_length_a 7.2311
_cell_length_b 7.2311
_cell_length_c 7.2311
_cell_angle_alpha 59.45
_cell_angle_beta 59.45
_cell_angle_gamma 59.45
loop_
_atom_site_label
_atom_site_fract_x
_atom_site_fract_y
_atom_site_fract_z
Al1 0.3757 0.3757 0.3757
Al2 0.5216 0.9921 0.9921
Al3 0.9921 0.9921 0.5216
Al4 0.9921 0.5216 0.9921
In1 0.9950 0.9950 0.9950
Cu1 0.6253 0.6253 0.6253
S1 0.2341 0.7453 0.7453
S2 0.7453 0.7453 0.2341
S3 0.7453 0.2341 0.7453
S4 0.7564 0.7564 0.7564
S5 0.7706 0.2518 0.2518
S6 0.2518 0.2518 0.7706
S7 0.2518 0.7706 0.2518
S8 0.2429 0.2429 0.2429
```

The following is a PBE calculation of an optimized crystal structure of AlInCu2S4, from Alexandria via LeMat-Bulk.

Output
Space-group type   I-4 (82)
ΔE_f (raw)   -0.64 eV per atom

```
data_AlInCu2S4
_chemical_formula_sum 'Al1 In1 Cu2 S4'
_space_group_name_H-M_alt 'P 1'
_space_group_IT_number 1
_space_group_name_Hall 'P 1'
_cell_length_a 6.6707
_cell_length_b 6.6707
_cell_length_c 6.6707
_cell_angle_alpha 131.79
_cell_angle_beta 131.79
_cell_angle_gamma 70.55
loop_
_atom_site_label
_atom_site_fract_x
_atom_site_fract_y
_atom_site_fract_z
Al1 0.7500 0.2500 0.5000
In1 0.5000 0.5000 0.0000
Cu1 0.2500 0.7500 0.5000
Cu2 0.0000 0.0000 0.0000
S1 0.6358 0.6281 0.5295
S2 0.0986 0.1063 0.4705
S3 0.8937 0.3642 0.9923
S4 0.3719 0.9014 0.0077
```

The following is a PBE calculation of an optimized crystal structure of AlInCu2S4, from Alexandria via LeMat-Bulk.

Output
Space-group type   I-42m (121)
ΔE_f (raw)   -0.65 eV per atom

```
data_AlInCu2S4
_chemical_formula_sum 'Al1 In1 Cu2 S4'
_space_group_name_H-M_alt 'P 1'
_space_group_IT_number 1
_space_group_name_Hall 'P 1'
_cell_length_a 5.4601
_cell_length_b 5.4601
_cell_length_c 6.6468
_cell_angle_alpha 114.24
_cell_angle_beta 114.24
_cell_angle_gamma 90.02
loop_
_atom_site_label
_atom_site_fract_x
_atom_site_fract_y
_atom_site_fract_z
Al1 0.5000 0.5000 0.0000
In1 0.0001 0.0001 0.0002
Cu1 0.7501 0.2501 0.5002
Cu2 0.2501 0.7501 0.5002
S1 0.6004 0.6004 0.7369
S2 0.3997 0.8634 0.2631
S3 0.8634 0.3997 0.2631
S4 0.1366 0.1366 0.7369
```

The following is a PBE calculation of an optimized crystal structure of AlInCu2Se4, from Alexandria via LeMat-Bulk.

Output
Space-group type   I-4 (82)
DOS at the Fermi energy   0.33 states/eV per cell
ΔE_f (raw)   -0.53 eV per atom

```
data_AlInCu2Se4
_chemical_formula_sum 'Al1 In1 Cu2 Se4'
_space_group_name_H-M_alt 'P 1'
_space_group_IT_number 1
_space_group_name_Hall 'P 1'
_cell_length_a 7.0363
_cell_length_b 7.0363
_cell_length_c 7.0363
_cell_angle_alpha 131.70
_cell_angle_beta 131.70
_cell_angle_gamma 70.71
loop_
_atom_site_label
_atom_site_fract_x
_atom_site_fract_y
_atom_site_fract_z
Al1 0.7500 0.2500 0.5000
In1 0.5000 0.5000 0.0000
Cu1 0.2500 0.7500 0.5000
Cu2 0.0000 0.0000 0.0000
Se1 0.1012 0.1035 0.4688
Se2 0.6347 0.6324 0.5312
Se3 0.3676 0.8988 0.0023
Se4 0.8965 0.3653 0.9977
```

The following is a PBE calculation of an optimized crystal structure of AlIn3Cu4Se8, from Alexandria via LeMat-Bulk.

Output
Space-group type   P1 (1)
DOS at the Fermi energy   2.24 states/eV per cell
ΔE_f (raw)   -0.48 eV per atom

```
data_AlIn3Cu4Se8
_chemical_formula_sum 'Al1 In3 Cu4 Se8'
_space_group_name_H-M_alt 'P 1'
_space_group_IT_number 1
_space_group_name_Hall 'P 1'
_cell_length_a 5.8122
_cell_length_b 7.1312
_cell_length_c 10.8816
_cell_angle_alpha 77.26
_cell_angle_beta 74.49
_cell_angle_gamma 65.95
loop_
_atom_site_label
_atom_site_fract_x
_atom_site_fract_y
_atom_site_fract_z
Al1 0.2473 0.3754 0.1247
In1 0.2522 0.8747 0.6254
In2 0.5011 0.2500 0.7549
In3 0.4990 0.7501 0.2448
Cu1 0.7487 0.6174 0.8803
Cu2 0.7516 0.1325 0.3693
Cu3 0.9933 0.0011 0.0057
Cu4 0.0069 0.4989 0.4946
Se1 0.3603 0.6828 0.0505
Se2 0.3808 0.2044 0.5478
Se3 0.8968 0.4239 0.3133
Se4 0.8766 0.9175 0.8315
Se5 0.1030 0.3116 0.9518
Se6 0.0935 0.8158 0.4350
Se7 0.6650 0.5604 0.6860
Se8 0.6240 0.0836 0.1843
```

The following is a PBE calculation of an optimized crystal structure of AlInCu2Se4, from Alexandria via LeMat-Bulk.

Output
Space-group type   I-42m (121)
DOS at the Fermi energy   1.16 states/eV per cell
ΔE_f (raw)   -0.53 eV per atom

```
data_AlInCu2Se4
_chemical_formula_sum 'Al1 In1 Cu2 Se4'
_space_group_name_H-M_alt 'P 1'
_space_group_IT_number 1
_space_group_name_Hall 'P 1'
_cell_length_a 5.7565
_cell_length_b 5.7565
_cell_length_c 7.0294
_cell_angle_alpha 114.17
_cell_angle_beta 114.17
_cell_angle_gamma 90.01
loop_
_atom_site_label
_atom_site_fract_x
_atom_site_fract_y
_atom_site_fract_z
Al1 0.5001 0.5001 0.0002
In1 0.0000 0.0000 0.0000
Cu1 0.7501 0.2501 0.5002
Cu2 0.2501 0.7501 0.5002
Se1 0.6002 0.6002 0.7334
Se2 0.3998 0.8668 0.2666
Se3 0.8668 0.3998 0.2666
Se4 0.1333 0.1333 0.7334
```

no.,magnetic moment (μB per cell),electronic total energy (eV per atom)
1,0.001,-4.726
2,0.000,-4.351
3,0.000,-4.125
4,0.000,-4.453
5,0.000,-4.791
6,0.000,-4.543
7,0.000,-4.543
8,0.000,-4.108
9,0.000,-3.999
10,0.000,-4.107